First-principles (PBE) data for a geometry-optimized HoGa4Ni2Rh structure, as listed in Alexandria.

abc: 9.0206 9.0206 9.0206
angles: 26.38 26.38 26.38
Element x y z (fractional)
Ho: 0.0000 0.0000 0.0000
Ga: 0.1285 0.1285 0.1285
Ga: 0.4003 0.4003 0.4003
Ga: 0.5997 0.5997 0.5997
Ga: 0.8715 0.8715 0.8715
Ni: 0.2326 0.2326 0.2326
Ni: 0.7674 0.7674 0.7674
Rh: 0.5000 0.5000 0.5000

Summary:
Its symmetry is R-3m. The value obtained for the formation enthalpy at 0 K is -519 meV per atom.

***

First-principles (PBE) data for a geometry-optimized AcNiC2 structure, as listed in Alexandria.

abc: 4.2104 3.8759 3.8759
angles: 72.73 90.00 90.00
Element x y z (fractional)
Ac: 0.0000 0.0000 0.0000
Ni: 0.5000 0.3850 0.3850
C: 0.5000 0.5482 0.8441
C: 0.5000 0.8441 0.5482

Summary:
Its symmetry is Amm2. The value obtained for the formation enthalpy at 0 K is -142 meV per atom.

***

First-principles (PBE) data for a geometry-optimized Th2Ni3As4Pt structure, as listed in Alexandria.

abc: 4.3269 4.3269 9.4307
angles: 90.00 90.00 90.00
Element x y z (fractional)
Th: 0.0000 0.5000 0.2491
Th: 0.5000 0.0000 0.7509
Ni: 0.0000 0.5000 0.8874
Ni: 0.5000 0.0000 0.1126
Ni: 0.5000 0.5000 0.5000
As: 0.0000 0.0000 0.0000
As: 0.0000 0.5000 0.6396
As: 0.5000 0.0000 0.3604
As: 0.5000 0.5000 0.0000
Pt: 0.0000 0.0000 0.5000

Summary:
Its symmetry is P-4m2. The value obtained for the formation enthalpy at 0 K is -831 meV per atom.

***

First-principles (PBE) data for a geometry-optimized CsAuS2O8 structure, as listed in Alexandria.

abc: 9.7096 9.7096 9.7096
angles: 30.30 30.30 30.30
Element x y z (fractional)
Cs: 0.0000 0.0000 0.0000
Au: 0.5000 0.5000 0.5000
S: 0.2360 0.2360 0.2360
S: 0.7640 0.7640 0.7640
O: 0.0759 0.5183 0.7492
O: 0.2508 0.4817 0.9241
O: 0.2891 0.2891 0.2891
O: 0.4817 0.9241 0.2508
O: 0.5183 0.7492 0.0759
O: 0.7109 0.7109 0.7109
O: 0.7492 0.0759 0.5183
O: 0.9241 0.2508 0.4817

Summary:
Its symmetry is R32. The formation energy from raw total energies comes out at -25.206 kcal/mol of atoms.

***

First-principles (PBE) data for a geometry-optimized Pa3VIn3Se8 structure, as listed in Alexandria.

abc: 9.2465 9.2465 9.2465
angles: 51.18 51.18 51.18
Element x y z (fractional)
Pa: 0.0000 0.5000 0.5000
Pa: 0.5000 0.0000 0.5000
Pa: 0.5000 0.5000 0.0000
V: 0.0000 0.0000 0.0000
In: 0.0000 0.0000 0.5000
In: 0.0000 0.5000 0.0000
In: 0.5000 0.0000 0.0000
Se: 0.2228 0.2228 0.7539
Se: 0.2228 0.7539 0.2228
Se: 0.2461 0.7772 0.7772
Se: 0.2610 0.2610 0.2610
Se: 0.7390 0.7390 0.7390
Se: 0.7539 0.2228 0.2228
Se: 0.7772 0.2461 0.7772
Se: 0.7772 0.7772 0.2461

Summary:
Its symmetry is R-3m. The formation energy from raw total energies comes out at -20.656 kcal/mol of atoms.

***

First-principles (PBE) data for a geometry-optimized FeRe4 structure, as listed in Alexandria.

abc: 5.2987 5.2987 6.6546
angles: 106.81 106.81 63.72
Element x y z (fractional)
Fe: 0.1171 0.1171 0.9996
Fe: 0.8829 0.8829 0.0004
Re: 0.0619 0.5630 0.2495
Re: 0.0964 0.0964 0.3752
Re: 0.4085 0.4085 0.6269
Re: 0.4370 0.9381 0.7505
Re: 0.5630 0.0619 0.2495
Re: 0.5915 0.5915 0.3731
Re: 0.9036 0.9036 0.6248
Re: 0.9381 0.4370 0.7505

Summary:
The energy above the most stable polymorph in this dataset comes out at 351 meV/atom. Its symmetry is C2/m. The value obtained for the formation enthalpy at 0 K is 433 meV per atom.

***

First-principles (PBE) data for a geometry-optimized BeTl2SeO4 structure, as listed in Alexandria.

abc: 11.5647 9.9175 6.9126
angles: 84.81 58.65 36.53
Element x y z (fractional)
Be: 0.1250 0.1250 0.1250
Be: 0.8750 0.8750 0.8750
Tl: 0.0424 0.0424 0.7076
Tl: 0.2924 0.2924 0.9576
Tl: 0.7076 0.7076 0.0424
Tl: 0.9576 0.9576 0.2924
Se: 0.3750 0.3750 0.3750
Se: 0.6250 0.6250 0.6250
O: 0.0321 0.3189 0.3511
O: 0.2022 0.6489 0.6811
O: 0.3189 0.0321 0.7978
O: 0.3511 0.7978 0.0321
O: 0.6489 0.2022 0.9679
O: 0.6811 0.9679 0.2022
O: 0.7978 0.3511 0.3189
O: 0.9679 0.6811 0.6489

Summary:
Its symmetry is Fddd. The formation energy from raw total energies comes out at -21.492 kcal/mol of atoms.

***

First-principles (PBE) data for a geometry-optimized K2Pu2GaS6 structure, as listed in Alexandria.

abc: 6.8293 6.8293 7.8147
angles: 98.21 98.21 120.06
Element x y z (fractional)
K: 0.1667 0.8333 0.0000
K: 0.8333 0.1667 0.0000
Pu: 0.3331 0.6669 0.5000
Pu: 0.6669 0.3331 0.5000
Ga: 0.0000 0.0000 0.5000
S: 0.0620 0.3871 0.6906
S: 0.2420 0.2420 0.3188
S: 0.3871 0.0620 0.6906
S: 0.6129 0.9380 0.3094
S: 0.7580 0.7580 0.6812
S: 0.9380 0.6129 0.3094

Summary:
Its symmetry is C2/m. The formation energy from raw total energies comes out at -28.771 kcal/mol of atoms.

***

First-principles (PBE) data for a geometry-optimized ScCo2Ir structure, as listed in Alexandria.

abc: 8.4002 8.4002 8.4002
angles: 19.47 19.47 19.47
Element x y z (fractional)
Sc: 0.0000 0.0000 0.0000
Co: 0.2466 0.2466 0.2466
Co: 0.5072 0.5072 0.5072
Ir: 0.7571 0.7571 0.7571

Summary:
Its symmetry is R3m. The value obtained for the formation enthalpy at 0 K is 118 meV per atom.

***

First-principles (PBE) data for a geometry-optimized Pm3Dy6HoEr2 structure, as listed in Alexandria.

abc: 6.1679 6.1679 11.7909
angles: 94.99 94.99 119.97
Element x y z (fractional)
Pm: 0.0000 0.0000 0.0000
Pm: 0.3333 0.6667 0.0000
Pm: 0.6667 0.3333 0.0000
Dy: 0.0843 0.4177 0.2538
Dy: 0.2489 0.2489 0.7463
Dy: 0.4177 0.0843 0.2538
Dy: 0.5823 0.9157 0.7462
Dy: 0.7511 0.7511 0.2537
Dy: 0.9157 0.5823 0.7462
Ho: 0.5000 0.5000 0.5000
Er: 0.1667 0.8333 0.5000
Er: 0.8333 0.1667 0.5000

Summary:
Its symmetry is C2/m. The value obtained for the formation enthalpy at 0 K is 18 meV per atom.

***

First-principles (PBE) data for a geometry-optimized InIrBr4 structure, as listed in Alexandria.

abc: 6.2939 6.2939 6.2939
angles: 60.00 60.00 60.00
Element x y z (fractional)
In: 0.0000 0.0000 0.0000
Ir: 0.7500 0.7500 0.7500
Br: 0.3770 0.3770 0.3770
Br: 0.3770 0.3770 0.8689
Br: 0.3770 0.8689 0.3770
Br: 0.8689 0.3770 0.3770

Summary:
Its symmetry is F-43m. The formation energy from raw total energies comes out at 26.218 kcal/mol of atoms.

***

First-principles (PBE) data for a geometry-optimized Ac3Tl2Cd3Hg structure, as listed in Alexandria.

abc: 8.0417 8.0417 4.9136
angles: 90.00 90.00 120.00
Element x y z (fractional)
Ac: 0.0000 0.5855 0.0000
Ac: 0.4145 0.4145 0.0000
Ac: 0.5855 0.0000 0.0000
Tl: 0.3333 0.6667 0.5000
Tl: 0.6667 0.3333 0.5000
Cd: 0.0000 0.2373 0.5000
Cd: 0.2373 0.0000 0.5000
Cd: 0.7627 0.7627 0.5000
Hg: 0.0000 0.0000 0.0000

Summary:
Its symmetry is P-62m. The value obtained for the formation enthalpy at 0 K is -371 meV per atom.